Crystalline PSe2Br at its relaxed geometry, computed with GGA-PBE.

Output
The total moment comes out at 0.0 Bohr magnetons per cell. For the energy, the calculation gives -3.373 eV/atom. As for the uncorrected formation energy: 0.1396 eV per atom.

Unit cell a=8.508 b=8.508 c=8.508 alpha=25.39 beta=25.39 gamma=25.39
Atoms (fractional coordinates):
P: 0.500 0.500 0.500
Br: 0.000 0.000 0.000
Se: 0.893 0.893 0.893
Se: 0.107 0.107 0.107